Record 1
Computed, not measured: a geometry-optimized BaLa2MoPt structure at the PBE-GGA level of DFT.

Cell: 5.8061 4.8901 5.8061 Å, 90.00 90.00 90.00°
Each line ends with the local moment (μB).
Fractional positions:
1 Mo 0.0000 0.5000 0.0000  0.19
2 Ba 0.0000 0.0000 0.0000  -0.03
3 Pt 0.5000 0.5000 0.5000  0.00
4 La 0.0000 0.0000 0.5000  -0.02
5 La 0.5000 0.0000 0.0000  -0.01

Values from the calculation:
Crystal system: tetragonal
Energy of formation from the pure elements, meV/atom: 1546

Record 2
Computed, not measured: a geometry-optimized BaLa2MoSe structure at the PBE-GGA level of DFT.

Cell: 5.6335 5.9428 5.6335 Å, 90.00 90.00 90.00°
Fractional positions:
1 Mo 0.5000 0.5000 0.5000
2 Ba 0.0000 0.5000 0.0000
3 Se 0.0000 0.0000 0.0000
4 La 0.0000 0.0000 0.5000
5 La 0.5000 0.0000 0.0000

Values from the calculation:
Crystal system: tetragonal
Energy, eV per atom: -4.83

Record 3
Computed, not measured: a geometry-optimized BaLa2SiMo structure at the PBE-GGA level of DFT.

Cell: 5.8197 4.9434 5.8197 Å, 90.00 90.00 90.00°
Fractional positions:
1 Mo 0.0000 0.5000 0.0000
2 Si 0.5000 0.5000 0.5000
3 Ba 0.0000 0.0000 0.0000
4 La 0.0000 0.0000 0.5000
5 La 0.5000 0.0000 0.0000

Values from the calculation:
Crystal system: tetragonal
Energy, eV per atom: -4.01

Record 4
Computed, not measured: a geometry-optimized BaLaTaMo2 structure at the PBE-GGA level of DFT.

Cell: 5.1202 5.2024 5.1202 Å, 90.00 90.00 90.00°
Each line ends with the local moment (μB).
Fractional positions:
1 Mo 0.0000 0.0000 0.5000  1.14
2 Mo 0.5000 0.0000 0.0000  1.19
3 La 0.5000 0.5000 0.5000  0.00
4 Ba 0.0000 0.0000 0.0000  0.00
5 Ta 0.0000 0.5000 0.0000  -0.54

Values from the calculation:
Crystal system: tetragonal
Energy of formation from the pure elements, meV/atom: 2351

Record 5
Computed, not measured: a geometry-optimized BaLaTlMo2 structure at the PBE-GGA level of DFT.

Cell: 5.0779 6.1454 5.0779 Å, 90.00 90.00 90.00°
Each line ends with the local moment (μB).
Fractional positions:
1 Mo 0.0000 0.0000 0.5000  0.91
2 Mo 0.5000 0.0000 0.0000  1.16
3 Tl 0.0000 0.5000 0.0000  -0.04
4 Ba 0.5000 0.5000 0.5000  0.02
5 La 0.0000 0.0000 0.0000  -0.02

Values from the calculation:
Crystal system: tetragonal
Energy of formation from the pure elements, meV/atom: 1354

Record 6
Computed, not measured: a geometry-optimized BaLa2TlMo structure at the PBE-GGA level of DFT.

Cell: 6.0882 5.2888 6.0882 Å, 90.00 90.00 90.00°
Each line ends with the local moment (μB).
Fractional positions:
1 Mo 0.0000 0.5000 0.0000  0.00
2 Tl 0.0000 0.0000 0.0000  0.01
3 Ba 0.5000 0.5000 0.5000  0.05
4 La 0.0000 0.0000 0.5000  0.06
5 La 0.5000 0.0000 0.0000  0.06

Values from the calculation:
Crystal system: tetragonal
Energy of formation from the pure elements, meV/atom: 875

Record 7
Computed, not measured: a geometry-optimized Ba2LaN structure at the PBE-GGA level of DFT.

Cell: 11.2643 11.2643 8.3126 Å, 47.35 47.35 90.00°
Fractional positions:
1 N 0.5000 0.5000 0.0000
2 N 0.2500 0.7500 0.5000
3 Ba 0.4655 0.1250 0.2500
4 Ba 0.2845 0.6250 0.2500
5 Ba 0.3750 0.5345 0.7500
6 Ba 0.8750 0.7155 0.7500
7 La 0.0000 0.0000 0.0000
8 La 0.7500 0.2500 0.5000

Values from the calculation:
Crystal system: tetragonal
Energy, eV per atom: -4.52

Record 8
Computed, not measured: a geometry-optimized BaLaN3 structure at the PBE-GGA level of DFT.

Cell: 4.4680 4.4680 4.4680 Å, 90.00 90.00 90.00°
Fractional positions:
1 N 0.0000 0.5000 0.0000
2 N 0.0000 0.0000 0.5000
3 N 0.5000 0.0000 0.0000
4 Ba 0.0000 0.0000 0.0000
5 La 0.5000 0.5000 0.5000

Values from the calculation:
Crystal system: cubic
Energy, eV per atom: -5.37